VASP calculation (PBE) on a geometry-optimized Nd2NiSn4Rh3 structure.

Computed properties:
Formation energy in eV per formula unit: -6.4
ρ in g/cm3: 8.66

a = 4.5781 Å, b = 4.5781 Å, c = 10.3499 Å
α = 90.00°, β = 90.00°, γ = 90.00°
Closest atoms and distances in Å follow each position.
Space group P-4m2 (No. 115)
Unique sites:
Nd1 0.0000 0.5000 0.2422 [2 per cell]  2 Ni 3.39, 6 Rh 3.39-3.50, 9 Sn 3.47-3.75
Ni1 0.5000 0.5000 0.0000 [1 per cell]  4 Sn 2.61
Sn1 0.0000 0.0000 0.5000 [1 per cell]  4 Rh 2.66
Sn2 0.0000 0.5000 0.8794 [2 per cell]  3 Rh 2.58-2.61, 2 Ni 2.61
Sn3 0.5000 0.5000 0.5000 [1 per cell]  4 Rh 2.66
Rh1 0.0000 0.0000 0.0000 [1 per cell]  4 Sn 2.61
Rh2 0.0000 0.5000 0.6303 [2 per cell]  5 Sn 2.58-2.66